No. 1
A geometry-optimized AcBeBIr3 structure. Source: Alexandria, functional GGA-PBE.

Results
Space group   No. 63
Calculated density   13.71 g/cm3
Volume   199 Å³ per cell
N(E_F)   0.84 states/eV/atom
Calculated formation energy   -0.397 eV per atom

Cell lengths 5.8233, 5.7964, 6.5807 Å; angles 116.13, 90.00, 90.00 degrees
Closest atoms and distances in Å follow each position.
Fractional coordinates of all 12 atoms:
Ac 0.7500 0.2534 0.5069  4 Ir 2.97-3.00, 1 B 3.16
Ac 0.2500 0.7466 0.4931  4 Ir 2.97-3.00, 1 B 3.16
Be 0.2500 0.3901 0.7801  5 Ir 2.32-2.40
Be 0.7500 0.6099 0.2199  5 Ir 2.32-2.40
B 0.2500 0.0143 0.0285  5 Ir 2.09-2.12
B 0.7500 0.9857 0.9715  5 Ir 2.09-2.12
Ir 0.2500 0.1933 0.3867  1 B 2.12, 1 Be 2.32
Ir 0.0000 0.2577 0.0000  2 B 2.09
Ir 0.5000 0.7423 0.0000  2 B 2.09
Ir 0.5000 0.2577 0.0000  2 B 2.09
Ir 0.0000 0.7423 0.0000  2 B 2.09
Ir 0.7500 0.8067 0.6133  1 B 2.12, 1 Be 2.32

=====

No. 2
A geometry-optimized Mg2AlRh structure. Source: Alexandria, functional GGA-PBE.

Results
Space group   No. 119
Calculated density   4.54 g/cm3
Volume   65 Å³ per cell
N(E_F)   0.31 states/eV/atom
Calculated formation energy   -0.411 eV per atom

Cell lengths 4.9305, 4.9305, 4.9305 Å; angles 131.77, 131.77, 70.59 degrees
Closest atoms and distances in Å follow each position.
Fractional coordinates of all 4 atoms:
Al 0.7500 0.2500 0.5000  8 Mg 2.85, 4 Rh 2.85
Mg 0.0000 0.0000 0.0000  4 Al 2.85, 4 Mg 2.85, 4 Rh 2.85
Mg 0.2500 0.7500 0.5000  4 Mg 2.85, 4 Rh 2.85, 4 Al 2.85
Rh 0.5000 0.5000 0.0000  4 Al 2.85, 8 Mg 2.85

=====

No. 3
A geometry-optimized K3YMo structure. Source: Alexandria, functional GGA-PBE.

Results
Polymorph energy (0 for the lowest one)   11 meV per atom
Space group   No. 221
Calculated density   1.38 g/cm3
Volume   363 Å³ per cell
N(E_F)   3.00 states/eV/atom
Calculated formation energy   1.889 eV per atom

Cell lengths 7.1345, 7.1345, 7.1345 Å; angles 90.00, 90.00, 90.00 degrees
Closest atoms and distances in Å follow each position.
Fractional coordinates of all 5 atoms:
Y 0.0000 0.0000 0.0000  6 K 3.57
Mo 0.5000 0.5000 0.5000  12 K 5.04
K 0.0000 0.5000 0.0000  2 Y 3.57
K 0.0000 0.0000 0.5000  2 Y 3.57
K 0.5000 0.0000 0.0000  2 Y 3.57

=====

No. 4
A geometry-optimized PuGa12Pd6 structure. Source: Alexandria, functional GGA-PBE.

Results
Space group   No. 166
Calculated density   8.61 g/cm3
Volume   332 Å³ per cell
N(E_F)   0.72 states/eV/atom
Calculated formation energy   -0.455 eV per atom

Cell lengths 7.2129, 7.2129, 7.2129 Å; angles 104.50, 104.50, 104.50 degrees
Closest atoms and distances in Å follow each position.
Fractional coordinates of all 19 atoms:
Pu 0.0000 0.0000 0.0000  6 Ga 3.19
Ga 0.8888 0.1112 0.5000  4 Pd 2.53-2.69, 3 Ga 2.54-2.77
Ga 0.8588 0.6076 0.6076  4 Pd 2.57-2.84, 4 Ga 2.77-2.87
Ga 0.6076 0.6076 0.8588  4 Pd 2.57-2.84, 4 Ga 2.77-2.87
Ga 0.3924 0.1412 0.3924  4 Pd 2.57-2.84, 4 Ga 2.77-2.87
Ga 0.3924 0.3924 0.1412  4 Pd 2.57-2.84, 4 Ga 2.77-2.87
Ga 0.1412 0.3924 0.3924  4 Pd 2.57-2.84, 4 Ga 2.77-2.87
Ga 0.1112 0.5000 0.8888  4 Pd 2.53-2.69, 3 Ga 2.54-2.77
Ga 0.5000 0.8888 0.1112  4 Pd 2.53-2.69, 3 Ga 2.54-2.77
Ga 0.1112 0.8888 0.5000  4 Pd 2.53-2.69, 3 Ga 2.54-2.77
Ga 0.8888 0.5000 0.1112  4 Pd 2.53-2.69, 3 Ga 2.54-2.77
Ga 0.5000 0.1112 0.8888  4 Pd 2.53-2.69, 3 Ga 2.54-2.77
Ga 0.6076 0.8588 0.6076  4 Pd 2.57-2.84, 4 Ga 2.77-2.87
Pd 0.7126 0.2884 0.2884  7 Ga 2.53-2.69
Pd 0.2884 0.2884 0.7126  7 Ga 2.53-2.69
Pd 0.2884 0.7126 0.2884  7 Ga 2.53-2.69
Pd 0.7116 0.7116 0.2874  7 Ga 2.53-2.69
Pd 0.2874 0.7116 0.7116  7 Ga 2.53-2.69
Pd 0.7116 0.2874 0.7116  7 Ga 2.53-2.69

=====

No. 5
A geometry-optimized Ca2OsBr structure. Source: Alexandria, functional GGA-PBE.

Results
Polymorph energy (0 for the lowest one)   115 meV per atom
Space group   No. 12
Calculated density   5.93 g/cm3
Volume   98 Å³ per cell
N(E_F)   0.56 states/eV/atom
Formation energy without anion corrections   -0.24 eV per atom

Cell lengths 3.6611, 3.6611, 8.7123 Å; angles 77.92, 77.92, 59.88 degrees
Closest atoms and distances in Å follow each position.
Fractional coordinates of all 4 atoms:
Ca 0.0067 0.0067 0.9794  3 Os 2.87, 3 Br 3.11
Ca 0.4933 0.4933 0.5206  3 Os 2.87, 3 Br 3.11
Os 0.7500 0.7500 0.7500  6 Ca 2.87
Br 0.2500 0.2500 0.2500  6 Ca 3.11

=====

No. 6
A geometry-optimized Tb2NdEr4Mg structure. Source: Alexandria, functional GGA-PBE.

Results
Space group   No. 123
Calculated density   7.78 g/cm3
Volume   247 Å³ per cell
N(E_F)   1.93 states/eV/atom
Calculated formation energy   0.112 eV per atom

Cell lengths 5.7168, 9.4620, 5.7191 Å; angles 52.83, 90.00, 90.00 degrees
Closest atoms and distances in Å follow each position.
Fractional coordinates of all 8 atoms:
Tb 0.0000 0.0000 0.0000  8 Er 3.46, 2 Mg 3.77
Tb 0.5000 0.0000 0.5000  8 Er 3.46, 2 Nd 3.77
Nd 0.5000 0.5000 0.0000  8 Er 3.39, 2 Tb 3.77
Er 0.0000 0.7419 0.7583  2 Nd 3.39, 2 Mg 3.39, 4 Tb 3.46, 1 Er 3.65
Er 0.0000 0.2581 0.2417  2 Nd 3.39, 2 Mg 3.39, 4 Tb 3.46, 1 Er 3.65
Er 0.5000 0.7419 0.2582  2 Mg 3.39, 2 Nd 3.39, 4 Tb 3.46, 1 Er 3.65
Er 0.5000 0.2581 0.7418  2 Mg 3.39, 2 Nd 3.39, 4 Tb 3.46, 1 Er 3.65
Mg 0.0000 0.5000 0.5000  8 Er 3.39, 2 Tb 3.77

=====

No. 7
A geometry-optimized ScOs4Pb structure. Source: Alexandria, functional GGA-PBE.

Results
Space group   No. 216
Calculated density   16.05 g/cm3
Volume   105 Å³ per cell
N(E_F)   1.36 states/eV/atom
Calculated formation energy   0.331 eV per atom

Cell lengths 5.2920, 5.2920, 5.2920 Å; angles 60.00, 60.00, 60.00 degrees
Closest atoms and distances in Å follow each position.
Fractional coordinates of all 6 atoms:
Sc 0.0000 0.0000 0.0000  12 Os 3.10, 4 Pb 3.24
Os 0.8756 0.3748 0.3748  6 Os 2.64-2.65
Os 0.3748 0.3748 0.8756  6 Os 2.64-2.65
Os 0.3748 0.8756 0.3748  6 Os 2.64-2.65
Os 0.3748 0.3748 0.3748  6 Os 2.64-2.65
Pb 0.7500 0.7500 0.7500  12 Os 3.10, 4 Sc 3.24

=====

No. 8
A geometry-optimized Ho4ErAl5 structure. Source: Alexandria, functional GGA-PBE.

Results
Space group   No. 123
Calculated density   6.97 g/cm3
Volume   229 Å³ per cell
N(E_F)   0.51 states/eV/atom
Calculated formation energy   -0.394 eV per atom

Cell lengths 3.5627, 3.5627, 18.0655 Å; angles 90.00, 90.00, 90.00 degrees
Closest atoms and distances in Å follow each position.
Fractional coordinates of all 10 atoms:
Ho 0.0000 0.0000 0.1993  8 Al 3.10
Ho 0.0000 0.0000 0.3998  8 Al 3.10
Ho 0.0000 0.0000 0.6002  8 Al 3.10
Ho 0.0000 0.0000 0.8007  8 Al 3.10
Er 0.0000 0.0000 0.0000  8 Al 3.09
Al 0.5000 0.5000 0.0990  4 Er 3.09, 4 Ho 3.10
Al 0.5000 0.5000 0.2996  8 Ho 3.10
Al 0.5000 0.5000 0.5000  8 Ho 3.10
Al 0.5000 0.5000 0.7004  8 Ho 3.10
Al 0.5000 0.5000 0.9010  4 Er 3.09, 4 Ho 3.10

=====

No. 9
A geometry-optimized MgSn2Pb8 structure. Source: Alexandria, functional GGA-PBE.

Results
Polymorph energy (0 for the lowest one)   0 meV per atom
Space group   No. 12
Calculated density   9.65 g/cm3
Volume   330 Å³ per cell
N(E_F)   0.60 states/eV/atom
Calculated formation energy   0.041 eV per atom

Cell lengths 5.8001, 6.0274, 9.9571 Å; angles 82.85, 106.93, 90.00 degrees
Closest atoms and distances in Å follow each position.
Fractional coordinates of all 11 atoms:
Mg 0.5000 0.0000 0.0000  10 Pb 3.35-3.51
Sn 0.2328 0.6375 0.4656  2 Sn 3.36, 8 Pb 3.39-3.56
Sn 0.7672 0.3625 0.5344  2 Sn 3.36, 8 Pb 3.39-3.56
Pb 0.5876 0.4504 0.1752  7 Pb 3.31-3.54, 2 Mg 3.37-3.51, 1 Sn 3.39
Pb 0.3227 0.1031 0.6454  1 Mg 3.35, 5 Pb 3.37-3.54, 4 Sn 3.40-3.47
Pb 0.1408 0.1900 0.2817  8 Pb 3.39-3.58, 2 Sn 3.40-3.56
Pb 0.0487 0.7390 0.0973  2 Mg 3.37, 7 Pb 3.41-3.62, 1 Sn 3.48
Pb 0.8592 0.8100 0.7183  8 Pb 3.39-3.58, 2 Sn 3.40-3.56
Pb 0.6773 0.8969 0.3546  1 Mg 3.35, 5 Pb 3.37-3.54, 4 Sn 3.40-3.47
Pb 0.4124 0.5496 0.8248  7 Pb 3.31-3.54, 2 Mg 3.37-3.51, 1 Sn 3.39
Pb 0.9513 0.2610 0.9027  2 Mg 3.37, 7 Pb 3.41-3.62, 1 Sn 3.48

=====

No. 10
A geometry-optimized K2RbLiHg structure. Source: Alexandria, functional GGA-PBE.

Results
Polymorph energy (0 for the lowest one)   0 meV per atom
Space group   No. 123
Calculated density   2.34 g/cm3
Volume   263 Å³ per cell
N(E_F)   0.66 states/eV/atom
Calculated formation energy   -0.030 eV per atom

Cell lengths 6.8654, 6.8654, 5.5768 Å; angles 90.00, 90.00, 90.00 degrees
Closest atoms and distances in Å follow each position.
Fractional coordinates of all 5 atoms:
K 0.0000 0.5000 0.0000  2 Hg 3.43
K 0.5000 0.0000 0.0000  2 Hg 3.43
Hg 0.0000 0.0000 0.0000  2 Li 2.79
Rb 0.5000 0.5000 0.5000  8 K 4.42, 4 Li 4.85
Li 0.0000 0.0000 0.5000  2 Hg 2.79

=====

No. 11
A geometry-optimized SrLiBeCu2 structure. Source: Alexandria, functional GGA-PBE.

Results
Space group   No. 123
Calculated density   4.22 g/cm3
Volume   91 Å³ per cell
N(E_F)   0.55 states/eV/atom
Calculated formation energy   0.124 eV per atom

Cell lengths 4.4289, 4.4289, 4.6225 Å; angles 90.00, 90.00, 90.00 degrees
Closest atoms and distances in Å follow each position.
Fractional coordinates of all 5 atoms:
Sr 0.5000 0.5000 0.5000  4 Li 3.13, 8 Cu 3.20
Li 0.0000 0.0000 0.5000  2 Be 2.31
Cu 0.0000 0.5000 0.0000  2 Be 2.21
Cu 0.5000 0.0000 0.0000  2 Be 2.21
Be 0.0000 0.0000 0.0000  4 Cu 2.21, 2 Li 2.31

=====

No. 12
A geometry-optimized K5Na structure. Source: Alexandria, functional GGA-PBE.

Results
Polymorph energy (0 for the lowest one)   3 meV per atom
Space group   No. 65
Calculated density   0.92 g/cm3
Volume   393 Å³ per cell
N(E_F)   0.56 states/eV/atom
Calculated formation energy   0.011 eV per atom

Cell lengths 6.4755, 6.4545, 9.9308 Å; angles 108.96, 90.00, 90.00 degrees
Closest atoms and distances in Å follow each position.
Fractional coordinates of all 6 atoms:
Na 0.0000 0.0000 0.0000  12 K 4.40-4.57
K 0.5000 0.8401 0.6801  10 K 4.41-4.69, 2 Na 4.42
K 0.0000 0.6591 0.3182  2 Na 4.40, 10 K 4.41-4.70
K 0.5000 0.5000 0.0000  8 K 4.41, 4 Na 4.57
K 0.0000 0.3409 0.6818  2 Na 4.40, 10 K 4.41-4.70
K 0.5000 0.1599 0.3199  10 K 4.41-4.69, 2 Na 4.42